# 1
# CaHgW3 (meta-GGA SCAN, PBEsol geometry)
data_CaHgW3
_chemical_formula_sum 'Ca1 Hg1 W3'
_cell_length_a 4.962
_cell_length_b 4.962
_cell_length_c 4.962
_cell_angle_alpha 90.00
_cell_angle_beta 90.00
_cell_angle_gamma 90.00
_symmetry_space_group_name_H-M 'P m -3 m'
_symmetry_Int_Tables_number 221
_symmetry_space_group_name_Hall '-P 4 2 3'
loop_
_atom_site_label
_atom_site_fract_x
_atom_site_fract_y
_atom_site_fract_z
_atom_site_occupancy
Ca1 0.000 0.000 0.000 1
Hg1 0.500 0.500 0.500 1
W1 0.000 0.500 0.500 1
# ΔE_f = 2.83 eV per atom

***

# 2
# TlSnPt2O (meta-GGA SCAN, PBEsol geometry)
data_TlSnPt2O
_chemical_formula_sum 'Tl1 Sn1 Pt2 O1'
_cell_length_a 4.255
_cell_length_b 4.255
_cell_length_c 4.986
_cell_angle_alpha 90.00
_cell_angle_beta 90.00
_cell_angle_gamma 90.00
_symmetry_space_group_name_H-M 'P 4/m m m'
_symmetry_Int_Tables_number 123
_symmetry_space_group_name_Hall '-P 4 2'
loop_
_atom_site_label
_atom_site_fract_x
_atom_site_fract_y
_atom_site_fract_z
_atom_site_occupancy
Tl1 0.000 0.000 0.000 1
Sn1 0.500 0.500 0.000 1
Pt1 0.000 0.500 0.500 1
O1 0.000 0.000 0.500 1
# Electronic total energy = -50.65 eV/atom

***

# 3
# Rb2ScAgI6 (meta-GGA SCAN, PBEsol geometry)
data_Rb2ScAgI6
_chemical_formula_sum 'Rb8 Sc4 Ag4 I24'
_cell_length_a 11.577
_cell_length_b 11.577
_cell_length_c 11.577
_cell_angle_alpha 90.00
_cell_angle_beta 90.00
_cell_angle_gamma 90.00
_symmetry_space_group_name_H-M 'F m -3 m'
_symmetry_Int_Tables_number 225
_symmetry_space_group_name_Hall '-F 4 2 3'
loop_
_atom_site_label
_atom_site_fract_x
_atom_site_fract_y
_atom_site_fract_z
_atom_site_occupancy
Rb1 0.250 0.250 0.250 1
Sc1 0.000 0.000 0.000 1
Ag1 0.000 0.000 0.500 1
I1 0.000 0.000 0.247 1
# Electronic total energy = -31.98 eV/atom

***

| no. | M_tot (μB/cell) |
| --- | --- |
| 1 | 0.00 |
| 2 | 0.00 |
| 3 | 0.00 |